(1)
## BTeBr3 (GGA-PBEsol)

Data for BTeBr3 after structural relaxation.

Cell lengths 5.571, 5.571, 5.571 Å; angles 90.00, 90.00, 90.00 degrees
Space group Pm-3m (No. 221)
Unique sites:
1 B 0.000 0.000 0.000 (multiplicity 1)
2 Te 0.500 0.500 0.500 (multiplicity 1)
3 Br 0.000 0.500 0.500 (multiplicity 3)

Energy relative to the elements, uncorrected = 4.75 eV/f.u.
Density of states at the Fermi level = 3.59 states/eV per cell
Magnetic moment = 0.090 μB/atom


(2)
## BTe2Br (GGA-PBEsol)

Data for BTe2Br after structural relaxation.

Cell lengths 6.959, 6.959, 6.959 Å; angles 90.00, 90.00, 90.00 degrees
Space group Fm-3m (No. 225)
Unique sites:
1 B 0.000 0.000 0.000 (multiplicity 4)
2 Te 0.250 0.250 0.250 (multiplicity 8)
3 Br 0.000 0.000 0.500 (multiplicity 4)

Energy relative to the elements, uncorrected = 4.64 eV/f.u.
Density of states at the Fermi level = 9.21 states/eV per cell
Magnetic moment = 0.000 μB/atom


(3)
## TlBBr3 (GGA-PBEsol)

Data for TlBBr3 after structural relaxation.

Cell lengths 4.849, 4.849, 4.849 Å; angles 90.00, 90.00, 90.00 degrees
Space group Pm-3m (No. 221)
Unique sites:
1 Tl 0.000 0.000 0.000 (multiplicity 1)
2 B 0.500 0.500 0.500 (multiplicity 1)
3 Br 0.000 0.500 0.500 (multiplicity 3)

Energy relative to the elements, uncorrected = 0.19 eV/f.u.
Density of states at the Fermi level = 1.27 states/eV per cell
Magnetic moment = 0.000 μB/atom